1.
NdLuSc | GGA-PBE | relaxed

## Properties
Space group: No. 107

abc: 3.485 3.485 7.715
angles: 103.05 103.05 90.00
Element x y z (fractional)
Sc1 0.669 0.669 0.339
Lu1 0.327 0.327 0.653
Nd1 0.004 0.004 0.008

2.
NdLuSc | GGA-PBE | relaxed

## Properties
Space group: No. 187

abc: 3.383 5.505 5.505
angles: 120.00 90.00 90.00
Element x y z (fractional)
Sc1 0.166 0.333 0.667
Lu1 0.167 0.000 0.000
Nd1 0.667 0.667 0.333

3.
NdLuSc2 | GGA-PBE | relaxed

## Properties
Space group: No. 123

abc: 4.692 4.902 4.902
angles: 90.00 90.00 90.00
Element x y z (fractional)
Sc1 0.000 0.000 0.500
Sc2 0.000 0.500 0.000
Lu1 0.500 0.500 0.500
Nd1 0.500 0.000 0.000

4.
NdLu4Sc | GGA-PBE | relaxed

## Properties
Space group: No. 216

abc: 6.422 6.422 6.422
angles: 60.00 60.00 60.00
Element x y z (fractional)
Sc1 0.000 0.000 0.000
Lu1 0.626 0.626 0.123
Lu2 0.626 0.123 0.626
Lu3 0.626 0.626 0.626
Lu4 0.123 0.626 0.626
Nd1 0.250 0.250 0.250

5.
NdLuSc2 | GGA-PBE | relaxed

## Properties
Space group: No. 123

abc: 3.869 3.869 7.567
angles: 90.00 90.00 90.00
Element x y z (fractional)
Sc1 0.000 0.000 0.764
Sc2 0.000 0.000 0.236
Lu1 0.500 0.500 0.000
Nd1 0.500 0.500 0.500

6.
NdLu2Sc | GGA-PBE | relaxed

## Properties
Space group: No. 123

abc: 3.830 3.830 8.197
angles: 90.00 90.00 90.00
Element x y z (fractional)
Sc1 0.500 0.500 0.000
Lu1 0.000 0.000 0.783
Lu2 0.000 0.000 0.217
Nd1 0.500 0.500 0.500

Listing DOS(E_F) for the structures above in their given order: 4.8; 5.2; 7.3; 12.9; 5.8; 6.3 states/eV/f.u..
Listing calculated formation energy for the structures above in their given order: 0.16; 0.26; 0.24; 1.90; 0.33; 0.32 eV per formula unit.
Listing spin magnetization for the structures above in their given order: 0.000; 0.000; 0.003; 1.617; 0.003; 0.000 μB/f.u..